1.
Material: BaSr2HgF8
Method: DFT, GGA-PBE
State: relaxed

Unit cell a=4.210 b=5.924 c=8.305 alpha=90.00 beta=90.00 gamma=90.00
Positions (direct):
Ba 0.000 0.000 0.000
Sr 0.500 0.500 0.261
Sr 0.500 0.500 0.739
Hg 0.000 0.000 0.500
F 0.000 0.256 0.267
F 0.000 0.256 0.733
F 0.000 0.744 0.267
F 0.000 0.744 0.733
F 0.500 0.240 0.500
F 0.500 0.269 0.000
F 0.500 0.731 0.000
F 0.500 0.760 0.500

## Properties
Total moment: 0.0 μB per formula unit
E: -4.999 eV/atom
Formation energy (no corrections): -3.285 eV per atom
Space group: No. 47



2.
Material: NbTlCuTcTe
Method: DFT, GGA-PBE
State: relaxed

Unit cell a=3.282 b=3.283 c=10.103 alpha=81.56 beta=82.07 gamma=89.49
Positions (direct):
Nb 0.000 0.000 0.000
Tl 0.146 0.152 0.662
Cu 0.561 0.565 0.859
Tc 0.400 0.395 0.151
Te 0.849 0.840 0.316

## Properties
Total moment: 0.0 μB per formula unit
Energy above the most stable polymorph in this dataset: 0.00 kJ/mol of atoms
E: -5.909 eV/atom
Formation energy (no corrections): 0.099 eV per atom
Space group: No. 1



3.
Material: LiBeCrCl2
Method: DFT, GGA-PBE
State: relaxed

Unit cell a=4.498 b=4.498 c=5.300 alpha=90.00 beta=90.00 gamma=90.00
Positions (direct):
Li 0.000 0.000 0.000
Be 0.500 0.500 0.500
Cr 0.000 0.000 0.500
Cl 0.000 0.500 0.000
Cl 0.500 0.000 0.000

## Properties
Total moment: 5.0 μB per formula unit
E: -3.443 eV/atom
Formation energy (no corrections): 0.349 eV per atom
Space group: No. 123



4.
Material: Rb2SeCl4F2
Method: DFT, GGA-PBE
State: relaxed

Unit cell a=7.027 b=7.027 c=7.027 alpha=118.83 beta=118.83 gamma=92.04
Positions (direct):
Rb 0.250 0.750 0.500
Rb 0.750 0.250 0.500
Se 0.000 0.000 0.000
Cl 0.242 0.242 0.484
Cl 0.242 0.758 0.000
Cl 0.758 0.242 0.000
Cl 0.758 0.758 0.516
F 0.198 0.198 0.000
F 0.802 0.802 0.000

## Properties
Total moment: 0.0 μB per formula unit
E: -3.334 eV/atom
Formation energy (no corrections): -1.496 eV per atom
Space group: No. 139